Entry 1:
Here is a relaxed structure of Ca3Mg2Zn from the Alexandria database. Energies are from PBE.

Cell and atoms, written as POSCAR:
```
Ca3Mg2Zn
1.0
-2.026 2.512 -8.030
-4.125 -6.006 4.670
-3.686 4.301 2.276
Mg Ca Zn
4 6 2
Direct
0.321 0.321 0.500 Mg
0.321 0.321 0.000 Mg
0.679 0.679 0.500 Mg
0.679 0.679 0.000 Mg
0.931 0.556 0.750 Ca
0.556 0.931 0.250 Ca
0.444 0.069 0.750 Ca
0.069 0.444 0.250 Ca
0.907 0.093 0.750 Ca
0.093 0.907 0.250 Ca
0.355 0.645 0.750 Zn
0.645 0.355 0.250 Zn
```

Fermi-level density of states, states/eV per atom: 0.86
SG: No. 63

---

Entry 2:
Here is a relaxed structure of Cs6PbAu3 from the Alexandria database. Energies are from PBE.

Cell and atoms, written as POSCAR:
```
Cs6PbAu3
1.0
8.087 0.688 1.087
1.039 8.049 1.087
0.718 0.688 8.128
Cs Pb Au
6 1 3
Direct
0.961 0.270 0.504 Cs
0.753 0.456 0.026 Cs
0.504 0.961 0.270 Cs
0.270 0.504 0.961 Cs
0.456 0.026 0.753 Cs
0.026 0.753 0.456 Cs
0.929 0.929 0.929 Pb
0.094 0.094 0.094 Au
0.418 0.418 0.418 Au
0.590 0.590 0.590 Au
```

Fermi-level density of states, states/eV per atom: 0.35
SG: No. 146

---

Entry 3:
Here is a relaxed structure of SmGd from the Alexandria database. Energies are from PBE.

Cell and atoms, written as POSCAR:
```
SmGd
1.0
3.570 0.000 -0.576
0.000 3.615 0.000
-1.951 0.000 10.602
Sm Gd
2 2
Direct
0.876 0.250 0.626 Sm
0.124 0.750 0.374 Sm
0.625 0.750 0.875 Gd
0.375 0.250 0.125 Gd
```

Fermi-level density of states, states/eV per atom: 1.88
SG: No. 129

---

Entry 4:
Here is a relaxed structure of La2Pr12Dy5 from the Alexandria database. Energies are from PBE.

Cell and atoms, written as POSCAR:
```
La2Pr12Dy5
1.0
9.470 0.000 0.000
-4.735 11.643 -1.915
0.000 -5.444 7.018
Pr Dy La
12 5 2
Direct
0.029 0.697 0.935 Pr
0.432 0.258 0.582 Pr
0.971 0.303 0.065 Pr
0.921 0.842 0.723 Pr
0.174 0.742 0.418 Pr
0.437 0.874 0.218 Pr
0.668 0.697 0.935 Pr
0.563 0.126 0.782 Pr
0.826 0.258 0.582 Pr
0.568 0.742 0.418 Pr
0.332 0.303 0.065 Pr
0.079 0.158 0.277 Pr
0.000 0.000 0.500 Dy
0.293 0.586 0.619 Dy
0.231 0.462 0.894 Dy
0.769 0.538 0.106 Dy
0.707 0.414 0.381 Dy
0.331 0.000 0.000 La
0.669 0.000 0.000 La
```

Fermi-level density of states, states/eV per atom: 1.37
SG: No. 12

---

Entry 5:
Here is a relaxed structure of LaNbAl2 from the Alexandria database. Energies are from PBE.

Cell and atoms, written as POSCAR:
```
LaNbAl2
1.0
0.000 3.514 3.514
3.514 0.000 3.514
3.514 3.514 0.000
Nb Al La
1 2 1
Direct
0.000 0.000 0.000 Nb
0.750 0.750 0.750 Al
0.250 0.250 0.250 Al
0.500 0.500 0.500 La
```

Fermi-level density of states, states/eV per atom: 0.93
SG: No. 225

---

Entry 6:
Here is a relaxed structure of As3P from the Alexandria database. Energies are from PBE.

Cell and atoms, written as POSCAR:
```
As3P
1.0
-2.384 -3.132 3.719
5.359 -0.531 -0.571
-2.053 4.962 -0.695
As P
3 1
Direct
0.500 0.000 0.500 As
0.500 0.500 0.000 As
0.000 0.000 0.000 As
0.000 0.500 0.500 P
```

Fermi-level density of states, states/eV per atom: 0.38
SG: No. 166

---

Asked for energy relative to the elements across the records above, the calculation gives 0.024, -0.192, 0.025, 0.126, -0.002, 0.526 eV/atom in order.